Arrangement i

# CsAs2IBr

CsAs2IBr after structural relaxation (PBE-GGA, Alexandria).

Values from the calculation:
Total magnetic moment = 0.000 μB/f.u.
ρ = 3.59 g/cm³
Volume = 226 Å³ per cell

Lattice parameters (Å, degrees): 5.3649 5.3649 7.8628 90.00 90.00 90.00
Closest atoms and distances in Å follow each position.
Fractional positions:
Cs 0.0000 0.0000 0.0000  4 Br 3.79
As 0.0000 0.5000 0.5000  2 I 2.68
As 0.5000 0.0000 0.5000  2 I 2.68
I 0.5000 0.5000 0.5000  4 As 2.68
Br 0.5000 0.5000 0.0000  4 Cs 3.79, 2 I 3.93


Arrangement ii

# CsAs2IBr

CsAs2IBr after structural relaxation (PBE-GGA, Alexandria).

Values from the calculation:
Total magnetic moment = 3.030 μB/f.u.
ρ = 3.37 g/cm³
Volume = 241 Å³ per cell

Lattice parameters (Å, degrees): 6.2380 6.2380 6.2006 90.00 90.00 90.00
Closest atoms and distances in Å follow each position.
Fractional positions:
Cs 0.0000 0.0000 0.0000  2 Br 3.10, 4 As 3.12
As 0.0000 0.5000 0.0000  2 Cs 3.12
As 0.5000 0.0000 0.0000  2 Cs 3.12
I 0.5000 0.5000 0.5000  8 As 4.40, 4 Br 4.41
Br 0.0000 0.0000 0.5000  2 Cs 3.10


Which of them is most stable, and which least? Most stable: arrangement i; least stable: arrangement ii.


Arrangement i

# CsInAs2Br

CsInAs2Br after structural relaxation (PBE-GGA, Alexandria).

Values from the calculation:
Total magnetic moment = 2.651 μB/f.u.
ρ = 3.22 g/cm³
Volume = 247 Å³ per cell

Lattice parameters (Å, degrees): 6.1153 6.1153 6.5925 90.00 90.00 90.00
Closest atoms and distances in Å follow each position.
Fractional positions:
Cs 0.0000 0.0000 0.0000  4 As 3.06, 2 Br 3.30
In 0.5000 0.5000 0.5000  4 Br 4.32, 8 As 4.50
As 0.0000 0.5000 0.0000  2 Cs 3.06
As 0.5000 0.0000 0.0000  2 Cs 3.06
Br 0.0000 0.0000 0.5000  2 Cs 3.30


Arrangement ii

# CsInAs2Br

CsInAs2Br after structural relaxation (PBE-GGA, Alexandria).

Values from the calculation:
Total magnetic moment = 1.140 μB/f.u.
ρ = 4.36 g/cm³
Volume = 182 Å³ per cell

Lattice parameters (Å, degrees): 5.3137 5.3137 6.4412 90.00 90.00 90.00
Closest atoms and distances in Å follow each position.
Fractional positions:
Cs 0.0000 0.0000 0.0000  4 Br 3.76, 8 As 4.18
In 0.5000 0.5000 0.5000  4 As 2.66
As 0.0000 0.5000 0.5000  2 In 2.66
As 0.5000 0.0000 0.5000  2 In 2.66
Br 0.5000 0.5000 0.0000  2 In 3.22


Which of them is most stable, and which least? Most stable: arrangement ii; least stable: arrangement i.


Arrangement i

# CsK2AsBr6

CsK2AsBr6 after structural relaxation (PBE-GGA, Alexandria).

Values from the calculation:
Total magnetic moment = 0.000 μB/f.u.
ρ = 2.92 g/cm³
Volume = 436 Å³ per cell

Lattice parameters (Å, degrees): 8.5105 8.5105 8.5105 60.00 60.00 60.00
Closest atoms and distances in Å follow each position.
Fractional positions:
Cs 0.0000 0.0000 0.0000  6 Br 3.36
K 0.2500 0.2500 0.2500  12 Br 4.27
K 0.7500 0.7500 0.7500  12 Br 4.27
As 0.5000 0.5000 0.5000  6 Br 2.66
Br 0.2789 0.2789 0.7211  1 As 2.66
Br 0.2789 0.7211 0.2789  1 As 2.66
Br 0.2789 0.7211 0.7211  1 As 2.66
Br 0.7211 0.2789 0.2789  1 As 2.66
Br 0.7211 0.2789 0.7211  1 As 2.66
Br 0.7211 0.7211 0.2789  1 As 2.66


Arrangement ii

# CsK2AsBr6

CsK2AsBr6 after structural relaxation (PBE-GGA, Alexandria).

Values from the calculation:
Total magnetic moment = 0.000 μB/f.u.
ρ = 3.09 g/cm³
Volume = 412 Å³ per cell

Lattice parameters (Å, degrees): 8.5486 8.5486 8.5486 57.04 57.04 57.04
Closest atoms and distances in Å follow each position.
Fractional positions:
Cs 0.0000 0.0000 0.0000  6 Br 3.50-3.72
K 0.2827 0.2827 0.2827  6 Br 3.35-3.44
K 0.8004 0.8004 0.8004  6 Br 3.27-3.44
As 0.4853 0.4853 0.4853  6 Br 2.67-2.72
Br 0.1463 0.6656 0.4162  1 As 2.67
Br 0.2689 0.5760 0.8223  1 As 2.72
Br 0.4162 0.1463 0.6656  1 As 2.67
Br 0.5760 0.8223 0.2689  1 As 2.72
Br 0.6656 0.4162 0.1463  1 As 2.67
Br 0.8223 0.2689 0.5760  1 As 2.72


Which of them is most stable, and which least? Most stable: arrangement ii; least stable: arrangement i.


Arrangement i

# CsMgAs2Br

CsMgAs2Br after structural relaxation (PBE-GGA, Alexandria).

Values from the calculation:
Total magnetic moment = 1.792 μB/f.u.
ρ = 3.93 g/cm³
Volume = 164 Å³ per cell

Lattice parameters (Å, degrees): 5.2000 5.2000 6.0497 90.00 90.00 90.00
Closest atoms and distances in Å follow each position.
Fractional positions:
Cs 0.0000 0.0000 0.0000  4 Br 3.68, 8 As 3.99
Mg 0.5000 0.5000 0.5000  4 As 2.60
As 0.0000 0.5000 0.5000  2 Mg 2.60
As 0.5000 0.0000 0.5000  2 Mg 2.60
Br 0.5000 0.5000 0.0000  2 Mg 3.02


Arrangement ii

# CsMgAs2Br

CsMgAs2Br after structural relaxation (PBE-GGA, Alexandria).

Values from the calculation:
Total magnetic moment = 0.000 μB/f.u.
ρ = 3.51 g/cm³
Volume = 183 Å³ per cell

Lattice parameters (Å, degrees): 5.4085 5.4085 6.2665 90.00 90.00 90.00
Closest atoms and distances in Å follow each position.
Fractional positions:
Cs 0.0000 0.0000 0.0000  2 Br 3.13
Mg 0.5000 0.5000 0.0000  4 Cs 3.82, 8 As 4.14
As 0.0000 0.5000 0.5000  2 Br 2.70
As 0.5000 0.0000 0.5000  2 Br 2.70
Br 0.0000 0.0000 0.5000  4 As 2.70


Arrangement iii

# CsMgAs2Br

CsMgAs2Br after structural relaxation (PBE-GGA, Alexandria).

Values from the calculation:
Total magnetic moment = 1.954 μB/f.u.
ρ = 2.73 g/cm³
Volume = 236 Å³ per cell

Lattice parameters (Å, degrees): 6.0559 6.0559 6.4229 90.00 90.00 90.00
Closest atoms and distances in Å follow each position.
Fractional positions:
Cs 0.0000 0.0000 0.0000  4 As 3.03, 2 Br 3.21
Mg 0.5000 0.5000 0.5000  4 Br 4.28, 8 As 4.41
As 0.0000 0.5000 0.0000  2 Cs 3.03
As 0.5000 0.0000 0.0000  2 Cs 3.03
Br 0.0000 0.0000 0.5000  2 Cs 3.21


Which of them is most stable, and which least? Most stable: arrangement i; least stable: arrangement iii.


Arrangement i

# CsAs2OsBr

CsAs2OsBr after structural relaxation (PBE-GGA, Alexandria).

Values from the calculation:
Total magnetic moment = 0.000 μB/f.u.
ρ = 6.50 g/cm³
Volume = 141 Å³ per cell

Lattice parameters (Å, degrees): 4.8002 4.8002 6.1310 90.00 90.00 90.00
Closest atoms and distances in Å follow each position.
Fractional positions:
Cs 0.0000 0.0000 0.0000  4 Br 3.39
As 0.0000 0.5000 0.5000  2 Os 2.40
As 0.5000 0.0000 0.5000  2 Os 2.40
Os 0.5000 0.5000 0.5000  4 As 2.40
Br 0.5000 0.5000 0.0000  2 Os 3.07, 4 Cs 3.39


Arrangement ii

# CsAs2OsBr

CsAs2OsBr after structural relaxation (PBE-GGA, Alexandria).

Values from the calculation:
Total magnetic moment = 0.000 μB/f.u.
ρ = 4.74 g/cm³
Volume = 194 Å³ per cell

Lattice parameters (Å, degrees): 5.7003 5.7003 5.9612 90.00 90.00 90.00
Closest atoms and distances in Å follow each position.
Fractional positions:
Cs 0.0000 0.0000 0.0000  4 As 2.85, 2 Br 2.98
As 0.0000 0.5000 0.0000  2 Cs 2.85
As 0.5000 0.0000 0.0000  2 Cs 2.85
Os 0.5000 0.5000 0.5000  4 Br 4.03, 8 As 4.12
Br 0.0000 0.0000 0.5000  2 Cs 2.98


Which of them is most stable, and which least? Most stable: arrangement i; least stable: arrangement ii.


Arrangement i

# CsAs2PBr

CsAs2PBr after structural relaxation (PBE-GGA, Alexandria).

Values from the calculation:
Total magnetic moment = 0.000 μB/f.u.
ρ = 3.35 g/cm³
Volume = 195 Å³ per cell

Lattice parameters (Å, degrees): 4.7777 4.7777 8.5533 90.00 90.00 90.00
Closest atoms and distances in Å follow each position.
Fractional positions:
Cs 0.0000 0.0000 0.0000  4 Br 3.38
As 0.0000 0.5000 0.5000  2 P 2.39
As 0.5000 0.0000 0.5000  2 P 2.39
P 0.5000 0.5000 0.5000  4 As 2.39
Br 0.5000 0.5000 0.0000  4 Cs 3.38


Arrangement ii

# CsAs2PBr

CsAs2PBr after structural relaxation (PBE-GGA, Alexandria).

Values from the calculation:
Total magnetic moment = 6.634 μB/f.u.
ρ = 2.51 g/cm³
Volume = 261 Å³ per cell

Lattice parameters (Å, degrees): 6.2284 6.2284 6.7248 90.00 90.00 90.00
Closest atoms and distances in Å follow each position.
Fractional positions:
Cs 0.0000 0.0000 0.0000  4 As 3.11, 2 Br 3.36
As 0.0000 0.5000 0.0000  2 Cs 3.11
As 0.5000 0.0000 0.0000  2 Cs 3.11
P 0.5000 0.5000 0.5000  4 Br 4.40, 8 As 4.58
Br 0.0000 0.0000 0.5000  2 Cs 3.36


Which of them is most stable, and which least? Most stable: arrangement i; least stable: arrangement ii.